# 1
A plane-wave DFT calculation with PBE was carried out for a relaxed structure of YScBePt.

Total magnetic moment (Bohr magnetons per cell): 0.00
Space group: F-43m
Formation energy from the elements (eV/atom): -0.560
DOS at the Fermi energy (states/eV/cell): 3.47

Cell: 4.7691 4.7691 4.7691 Å, 60.00 60.00 60.00°
Closest atoms and distances in Å follow each position.
Positions (direct):
Sc: 0.2500 0.2500 0.2500  4 Be 2.92, 4 Pt 2.92
Be: 0.5000 0.5000 0.5000  4 Sc 2.92, 4 Y 2.92
Y: 0.7500 0.7500 0.7500  4 Be 2.92, 4 Pt 2.92
Pt: 0.0000 0.0000 0.0000  4 Y 2.92, 4 Sc 2.92

---

# 2
A plane-wave DFT calculation with PBE was carried out for a relaxed structure of BiSbRuSe2.

Total magnetic moment (Bohr magnetons per cell): 3.06
Space group: P4/mmm
DOS at the Fermi energy (states/eV/cell): 7.06
Uncorrected formation energy (kcal/mol of atoms): 32.6

Cell: 5.4112 5.8303 5.4112 Å, 90.00 90.00 90.00°
Closest atoms and distances in Å follow each position.
Positions (direct):
Se: 0.5000 0.0000 0.0000  2 Bi 2.71
Se: 0.0000 0.0000 0.5000  2 Bi 2.71
Bi: 0.0000 0.0000 0.0000  4 Se 2.71, 2 Sb 2.92
Ru: 0.5000 0.5000 0.5000  4 Sb 3.83, 8 Se 3.98
Sb: 0.0000 0.5000 0.0000  2 Bi 2.92

---

# 3
A plane-wave DFT calculation with PBE was carried out for a relaxed structure of Li2InSb.

Total magnetic moment (Bohr magnetons per cell): 0.00
Space group: Immm
DOS at the Fermi energy (states/eV/cell): 2.08
Uncorrected formation energy (kcal/mol of atoms): 0.3

Cell: 6.2801 6.2801 6.2801 Å, 58.79 139.20 139.57°
Closest atoms and distances in Å follow each position.
Positions (direct):
Li: 0.0000 0.2581 0.2581  1 Sb 2.65, 1 In 2.82
Li: 0.0000 0.7419 0.7419  1 Sb 2.65, 1 In 2.82
Sb: 0.0000 0.5000 0.5000  2 Li 2.65
In: 0.0000 0.0000 0.0000  2 Li 2.82, 4 Sb 3.08

---

# 4
A plane-wave DFT calculation with PBE was carried out for a relaxed structure of Ni3PtSe.

Total magnetic moment (Bohr magnetons per cell): 3.74
Space group: Pm-3m
Relative energy among the computed polymorphs (meV per atom): 557
DOS at the Fermi energy (states/eV/cell): 8.44
Uncorrected formation energy (kcal/mol of atoms): 24.7

Cell: 4.6070 4.6070 4.6070 Å, 90.00 90.00 90.00°
Closest atoms and distances in Å follow each position.
Positions (direct):
Ni: 0.5000 0.0000 0.0000  2 Pt 2.30
Ni: 0.0000 0.5000 0.0000  2 Pt 2.30
Ni: 0.0000 0.0000 0.5000  2 Pt 2.30
Pt: 0.0000 0.0000 0.0000  6 Ni 2.30
Se: 0.5000 0.5000 0.5000  12 Ni 3.26

---

# 5
A plane-wave DFT calculation with PBE was carried out for a relaxed structure of PrDyY2S4.

Total magnetic moment (Bohr magnetons per cell): 0.00
Space group: P2/m
DOS at the Fermi energy (states/eV/cell): 4.79
Uncorrected formation energy (kcal/mol of atoms): -46.0

Cell: 3.9205 6.8889 6.8964 Å, 71.07 90.00 90.00°
Closest atoms and distances in Å follow each position.
Positions (direct):
Y: 0.5000 0.0000 0.5000  6 S 2.74
Y: 0.0000 0.0000 0.0000  6 S 2.81
Pr: 0.5000 0.5000 0.0000  6 S 2.87
S: 0.5000 0.7546 0.2567  3 Y 2.74-2.81, 2 Dy 2.80, 1 Pr 2.87
S: 0.0000 0.7612 0.7379  3 Y 2.74-2.81, 1 Dy 2.80, 2 Pr 2.87
S: 0.0000 0.2388 0.2621  3 Y 2.74-2.81, 1 Dy 2.80, 2 Pr 2.87
S: 0.5000 0.2454 0.7433  3 Y 2.74-2.81, 2 Dy 2.80, 1 Pr 2.87
Dy: 0.0000 0.5000 0.5000  6 S 2.80

---

# 6
A plane-wave DFT calculation with PBE was carried out for a relaxed structure of CuAg2SeO4.

Total magnetic moment (Bohr magnetons per cell): 0.00
Space group: P1
DOS at the Fermi energy (states/eV/cell): 3.40
Uncorrected formation energy (kcal/mol of atoms): -8.2

Cell: 5.0755 5.7572 6.1126 Å, 125.20 111.32 80.62°
Closest atoms and distances in Å follow each position.
Positions (direct):
Ag: 0.3803 0.1934 0.4382  2 O 2.16-2.20
Ag: 0.3518 0.9800 0.8486  2 O 2.12-2.16
O: 0.9456 0.4431 0.2317  1 Se 1.75, 1 Cu 1.87
O: 0.0730 0.2739 0.7797  1 Se 1.71
O: 0.5914 0.6139 0.7118  1 Cu 1.83
O: 0.3555 0.7416 0.2802  1 Se 1.79
Se: 0.0037 0.5798 0.0589  3 O 1.71-1.79
Cu: 0.6859 0.5613 0.4249  3 O 1.83-2.02

---

# 7
A plane-wave DFT calculation with PBE was carried out for a relaxed structure of ReSiSb2.

Total magnetic moment (Bohr magnetons per cell): 0.00
Space group: I-42d
DOS at the Fermi energy (states/eV/cell): 9.64
Uncorrected formation energy (kcal/mol of atoms): 18.7

Cell: 6.1220 6.1220 7.3729 Å, 65.47 65.47 90.00°
Closest atoms and distances in Å follow each position.
Positions (direct):
Sb: 0.3750 0.3646 0.7500  2 Re 2.59, 2 Si 2.67
Sb: 0.8750 0.8854 0.7500  2 Re 2.59, 2 Si 2.67
Sb: 0.1146 0.6250 0.2500  2 Re 2.59, 2 Si 2.67
Sb: 0.6354 0.1250 0.2500  2 Re 2.59, 2 Si 2.67
Si: 0.5000 0.5000 0.0000  4 Sb 2.67
Si: 0.2500 0.7500 0.5000  4 Sb 2.67
Re: 0.7500 0.2500 0.5000  4 Sb 2.59
Re: 0.0000 0.0000 0.0000  4 Sb 2.59

---

# 8
A plane-wave DFT calculation with PBE was carried out for a relaxed structure of MnZn2Br.

Total magnetic moment (Bohr magnetons per cell): 3.90
Space group: F-43m
Relative energy among the computed polymorphs (meV per atom): 427
DOS at the Fermi energy (states/eV/cell): 1.81
Uncorrected formation energy (kcal/mol of atoms): 10.9

Cell: 4.7638 4.7638 4.7638 Å, 60.00 60.00 60.00°
Closest atoms and distances in Å follow each position.
Positions (direct):
Mn: 0.7500 0.7500 0.7500  4 Zn 2.92, 4 Br 2.92
Zn: 0.0000 0.0000 0.0000  4 Mn 2.92, 4 Zn 2.92
Zn: 0.2500 0.2500 0.2500  4 Zn 2.92, 4 Br 2.92
Br: 0.5000 0.5000 0.5000  4 Zn 2.92, 4 Mn 2.92